No. 1
The following is a PBE-GGA calculation of a geometry-optimized LiCe2Pt7 structure, from the Alexandria database.

The space group is P-4m2 (No. 115) and the conventional cell measures 3.869, 3.869 and 12.771 Å, with angles of 90.00, 90.00 and 90.00 degrees. The distinct sites, in fractional coordinates, are Li at (0.000, 0.000, 0.000), Ce at (0.000, 0.500, 0.744), Pt at (0.000, 0.000, 0.500), Pt at (0.000, 0.500, 0.144), Pt at (0.000, 0.500, 0.348), Pt at (0.500, 0.500, 0.000) and Pt at (0.500, 0.500, 0.500).

As for the total magnetization: 0.2 μB per cell.

No. 2
The following is a PBE-GGA calculation of a geometry-optimized PmEr2Co9 structure, from the Alexandria database.

The space group is R-3m (No. 166, hexagonal axes) and the conventional cell measures 5.0005, 5.0005 and 24.2084 Å, with angles of 90.00, 90.00 and 120.00 degrees. The distinct sites, in fractional coordinates, are Pm at (0.0000, 0.0000, 0.0000), Er at (0.0000, 0.0000, 0.1403), Co at (0.0000, 0.0000, 0.3352), Co at (0.0000, 0.0000, 0.5000) and Co at (0.0042, 0.5021, 0.9175).

As for the total magnetization: 32.1 μB per cell.

No. 3
The following is a PBE-GGA calculation of a geometry-optimized NaErAuSe2 structure, from the Alexandria database.

The space group is P2/c (No. 13) and the conventional cell measures 6.978, 4.916 and 7.633 Å, with angles of 90.00, 97.09 and 90.00 degrees. The distinct sites, in fractional coordinates, are Na at (0.000, 0.103, 0.250), Er at (0.500, 0.495, 0.750), Au at (0.500, 0.000, 0.000) and Se at (0.218, 0.347, 0.971).

As for the total magnetization: 0.0 μB per cell.

No. 4
The following is a PBE-GGA calculation of a geometry-optimized AcPmPbBr structure, from the Alexandria database.

The space group is F-43m (No. 216) and the conventional cell measures 7.944, 7.944 and 7.944 Å, with angles of 90.00, 90.00 and 90.00 degrees. The distinct sites, in fractional coordinates, are Ac at (0.000, 0.000, 0.000), Pm at (0.000, 0.000, 0.500), Pb at (0.250, 0.250, 0.250) and Br at (0.250, 0.250, 0.750).

As for the total magnetization: 0.0 μB per cell.

No. 5
The following is a PBE-GGA calculation of a geometry-optimized ZnFeCo4 structure, from the Alexandria database.

The space group is Cmmm (No. 65) and the conventional cell measures 3.652, 10.209 and 3.678 Å, with angles of 90.00, 90.00 and 90.00 degrees. The distinct sites, in fractional coordinates, are Zn at (0.000, 0.000, 0.000), Fe at (0.000, 0.500, 0.500), Co at (0.000, 0.171, 0.500) and Co at (0.000, 0.326, 0.000).

Its distance to the lowest polymorph of the same formula is 0.0 kJ/mol of atoms. As for the total magnetization: 17.4 μB per cell.

No. 6
The following is a PBE-GGA calculation of a geometry-optimized LaPmNd4 structure, from the Alexandria database.

The space group is F-43m (No. 216) and the conventional cell measures 9.554, 9.554 and 9.554 Å, with angles of 90.00, 90.00 and 90.00 degrees. The distinct sites, in fractional coordinates, are La at (0.000, 0.000, 0.000), Pm at (0.250, 0.250, 0.750) and Nd at (0.124, 0.124, 0.376).

Its distance to the lowest polymorph of the same formula is 21.3 kJ/mol of atoms. As for the total magnetization: 0.0 μB per cell.

No. 7
The following is a PBE-GGA calculation of a geometry-optimized La2Pm4DyY2 structure, from the Alexandria database.

The space group is C2/m (No. 12) and the conventional cell measures 19.050, 3.680 and 9.757 Å, with angles of 90.00, 115.69 and 90.00 degrees. The distinct sites, in fractional coordinates, are La at (0.165, 0.000, 0.000), Pm at (0.019, 0.000, 0.334), Pm at (0.186, 0.500, 0.335), Dy at (0.000, 0.500, 0.000) and Y at (0.147, 0.500, 0.665).

As for the total magnetization: 0.0 μB per cell.

No. 8
The following is a PBE-GGA calculation of a geometry-optimized ZnCr4Ir5 structure, from the Alexandria database.

The space group is P4/mmm (No. 123) and the conventional cell measures 2.703, 2.703 and 18.317 Å, with angles of 90.00, 90.00 and 90.00 degrees. The distinct sites, in fractional coordinates, are Zn at (0.000, 0.000, 0.000), Cr at (0.000, 0.000, 0.199), Cr at (0.000, 0.000, 0.400), Ir at (0.500, 0.500, 0.107), Ir at (0.500, 0.500, 0.302) and Ir at (0.500, 0.500, 0.500).

As for the total magnetization: 0.0 μB per cell.

Number 1: E -6.3179 eV per atom. Number 2: E -6.6554 eV per atom. Number 3: E -4.2412 eV per atom. Number 4: E -4.3802 eV per atom. Number 5: E -6.3635 eV per atom. Number 6: E -4.5538 eV per atom. Number 7: E -5.1501 eV per atom. Number 8: E -8.6121 eV per atom.